Computed, not measured: CaGe3P after structural relaxation at the PBE level of DFT.

The structure in CIF format:
```
data_CaGe3P
_symmetry_space_group_name_H-M 'P 1'
_symmetry_Int_Tables_number 1
_cell_length_a 4.907
_cell_length_b 4.907
_cell_length_c 4.907
_cell_angle_alpha 90.00
_cell_angle_beta 90.00
_cell_angle_gamma 90.00
loop_
_symmetry_equiv_pos_as_xyz
'x,y,z'
loop_
_atom_site_label
_atom_site_fract_x
_atom_site_fract_y
_atom_site_fract_z
Ca1 0.000 0.000 0.000
Ge1 0.000 0.500 0.500
Ge2 0.500 0.000 0.500
Ge3 0.500 0.500 0.000
P1 0.500 0.500 0.500
```

Properties
energy	-4.06	eV per atom
calculated formation energy	196.4	meV/atom
DOS at the Fermi energy	2.2	states/eV/f.u.
SG	Pm-3m, No. 221
volume	118	Å³ per cell